Density functional theory data (PBE-GGA) for crystalline La3Ag2Pd4 at its relaxed geometry.

Geometry as POSCAR:
```
La3Ag2Pd4
1.0
-4.609 -0.824 -0.031
2.642 -1.300 -4.689
1.382 -7.877 3.914
La Ag Pd
3 2 4
direct
0.378 0.756 0.620 La
0.000 0.000 0.000 La
0.622 0.244 0.380 La
0.310 0.620 0.230 Ag
0.690 0.380 0.770 Ag
0.713 0.426 0.085 Pd
0.082 0.164 0.634 Pd
0.918 0.836 0.366 Pd
0.287 0.574 0.915 Pd
```

**Mass density**: 8.44 g/cm3
**Energy of formation from the pure elements**: -5.58 eV/f.u.
**Electronic total energy**: -5.204 eV per atom
**SG**: C2/m, No. 12
**E above lowest polymorph**: 0.33 kcal/mol of atoms